Zr2TaI | GGA-PBE | relaxed

Lattice parameters (Å, degrees): 4.983 4.983 4.983 60.00 60.00 60.00
Fractional positions:
Zr 0.250 0.250 0.250
Zr 0.750 0.750 0.750
Ta 0.000 0.000 0.000
I 0.500 0.500 0.500

Properties
Its magnetization is 0.00 μB/cell. Its space-group type is Fm-3m. As for the energy: -7.1797 eV/atom.